Compound: MgTa2Ag
Source: Alexandria
Functional: meta-GGA SCAN
Structure: PBEsol geometry

Results
**Calculated total energy**: -169.03 eV per formula unit
**Density of states at the Fermi level**: 0.55 states/eV/atom
**Calculated volume**: 17.73 A^3/atom
**ΔH_f (0 K)**: 118 meV/atom

Cell: 2.804 2.804 9.020 Å, 90.00 90.00 90.00°
Positions (direct):
Mg: 0.000 0.000 0.000
Ta: 0.000 0.000 0.519
Ta: 0.500 0.500 0.270
Ag: 0.500 0.500 0.763